A crystal of Li2MnCoP2O8 relaxed with PBEsol. Source: the Alexandria database, functional meta-GGA SCAN.

Summary:
Magnetization (μB/atom): 0.57
Crystal system: monoclinic
E_form (uncorrected) (kcal/mol of atoms): -54.34

Cell: 4.6930 5.9697 10.2131 Å, 90.00 90.43 90.00°
Closest atoms and distances in Å follow each position.
Positions (direct):
Li: 0.0000 0.0000 0.0000  6 O 2.09-2.16
Li: 0.0000 0.5000 0.0000  6 O 2.09-2.16
Li: 0.5000 0.0000 0.5000  6 O 2.08-2.17
Li: 0.5000 0.5000 0.5000  6 O 2.08-2.17
Mn: 0.0204 0.2500 0.7217  6 O 2.08-2.25
Mn: 0.9796 0.7500 0.2783  6 O 2.08-2.25
Co: 0.4769 0.2500 0.2192  6 O 2.04-2.18
Co: 0.5231 0.7500 0.7808  6 O 2.04-2.18
P: 0.0850 0.7500 0.5966  4 O 1.53-1.56
P: 0.4235 0.7500 0.0901  4 O 1.53-1.57
P: 0.5765 0.2500 0.9099  4 O 1.53-1.57
P: 0.9150 0.2500 0.4034  4 O 1.53-1.56
O: 0.2053 0.7500 0.4554  1 P 1.55
O: 0.2255 0.5449 0.6672  1 P 1.56
O: 0.2255 0.9551 0.6672  1 P 1.56
O: 0.2413 0.2500 0.4004  1 P 1.53
O: 0.2500 0.2500 0.9074  1 P 1.53
O: 0.2906 0.5434 0.1626  1 P 1.57
O: 0.2906 0.9566 0.1626  1 P 1.57
O: 0.2929 0.7500 0.9502  1 P 1.55
O: 0.7071 0.2500 0.0498  1 P 1.55
O: 0.7094 0.0434 0.8374  1 P 1.57
O: 0.7094 0.4566 0.8374  1 P 1.57
O: 0.7500 0.7500 0.0926  1 P 1.53
O: 0.7587 0.7500 0.5996  1 P 1.53
O: 0.7745 0.0449 0.3328  1 P 1.56
O: 0.7745 0.4551 0.3328  1 P 1.56
O: 0.7947 0.2500 0.5446  1 P 1.55